1.
The following is a PBE-GGA calculation of an optimized crystal structure of DyY3Ru, from Alexandria.

a b c (Å): 7.2697 7.2697 8.0777
angles (deg): 123.70 123.70 72.32
Fractional positions:
Dy: 0.0523 0.0523 0.3478
Dy: 0.9477 0.9477 0.6522
Y: 0.0507 0.4454 0.2035
Y: 0.4454 0.0507 0.2035
Y: 0.4474 0.4474 0.7416
Y: 0.5526 0.5526 0.2584
Y: 0.5546 0.9493 0.7965
Y: 0.9493 0.5546 0.7965
Ru: 0.2482 0.2482 0.8718
Ru: 0.7518 0.7518 0.1282

Computed properties:
The formation energy comes out at -0.198 eV per atom. The calculation puts the total energy at -68.52 eV/cell. The space-group type is C2/m, No. 12.


2.
The following is a PBE-GGA calculation of an optimized crystal structure of VIrRh4, from Alexandria.

a b c (Å): 4.0008 4.0008 6.1429
angles (deg): 90.00 90.00 90.00
Fractional positions:
V: 0.0000 0.0000 0.0000
Ir: 0.5000 0.5000 0.5000
Rh: 0.0000 0.5000 0.2345
Rh: 0.0000 0.5000 0.7655
Rh: 0.5000 0.0000 0.2345
Rh: 0.5000 0.0000 0.7655

Computed properties:
The formation energy comes out at 0.173 eV per atom. The calculation puts the total energy at -46.35 eV/cell. The space-group type is P4/mmm, No. 123.


Repeat the first record exactly.
The following is a PBE-GGA calculation of an optimized crystal structure of DyY3Ru, from Alexandria.

a b c (Å): 7.2697 7.2697 8.0777
angles (deg): 123.70 123.70 72.32
Fractional positions:
Dy: 0.0523 0.0523 0.3478
Dy: 0.9477 0.9477 0.6522
Y: 0.0507 0.4454 0.2035
Y: 0.4454 0.0507 0.2035
Y: 0.4474 0.4474 0.7416
Y: 0.5526 0.5526 0.2584
Y: 0.5546 0.9493 0.7965
Y: 0.9493 0.5546 0.7965
Ru: 0.2482 0.2482 0.8718
Ru: 0.7518 0.7518 0.1282

Computed properties:
The formation energy comes out at -0.198 eV per atom. The calculation puts the total energy at -68.52 eV/cell. The space-group type is C2/m, No. 12.


What did the first record say?
The following is a PBE-GGA calculation of an optimized crystal structure of DyY3Ru, from Alexandria.

a b c (Å): 7.2697 7.2697 8.0777
angles (deg): 123.70 123.70 72.32
Fractional positions:
Dy: 0.0523 0.0523 0.3478
Dy: 0.9477 0.9477 0.6522
Y: 0.0507 0.4454 0.2035
Y: 0.4454 0.0507 0.2035
Y: 0.4474 0.4474 0.7416
Y: 0.5526 0.5526 0.2584
Y: 0.5546 0.9493 0.7965
Y: 0.9493 0.5546 0.7965
Ru: 0.2482 0.2482 0.8718
Ru: 0.7518 0.7518 0.1282

Computed properties:
The formation energy comes out at -0.198 eV per atom. The calculation puts the total energy at -68.52 eV/cell. The space-group type is C2/m, No. 12.